1.
Material: Nd2Dy2CI2Br3
Method: DFT, PBE
State: optimized geometry

abc: 9.560 9.560 8.316
angles: 102.26 102.26 23.58
Fractional coordinates of all 10 atoms:
1 Dy 0.001 0.001 0.802
2 Br 0.154 0.154 0.346
3 Br 0.846 0.846 0.654
4 Dy 0.999 0.999 0.198
5 I 0.831 0.831 0.202
6 Nd 0.638 0.638 0.074
7 I 0.169 0.169 0.798
8 C 0.500 0.500 0.000
9 Br 0.500 0.500 0.500
10 Nd 0.362 0.362 0.926

Results
- Energy above the most stable polymorph in this dataset: 8 meV per atom
- DFT total energy: -49.01 eV per formula unit

2.
Material: Zr2NiSb2Os
Method: DFT, PBE
State: optimized geometry

abc: 7.672 7.672 6.269
angles: 114.11 114.11 109.41
Fractional coordinates of all 12 atoms:
1 Ni 0.500 0.500 0.000
2 Sb 0.125 0.375 0.502
3 Os 0.000 0.000 0.000
4 Os 0.250 0.750 0.500
5 Zr 0.125 0.375 0.994
6 Zr 0.869 0.619 0.494
7 Zr 0.625 0.875 0.006
8 Sb 0.625 0.875 0.498
9 Sb 0.873 0.623 0.998
10 Ni 0.750 0.250 0.500
11 Sb 0.377 0.127 0.002
12 Zr 0.381 0.131 0.506

Results
- DFT total energy: -45.96 eV per formula unit

3.
Material: TbCdGa2
Method: DFT, PBE
State: optimized geometry

abc: 4.726 6.544 6.544
angles: 55.65 90.00 90.00
Fractional coordinates of all 8 atoms:
1 Ga 0.000 0.849 0.849
2 Ga 0.500 0.689 0.166
3 Ga 0.500 0.166 0.689
4 Cd 0.000 0.322 0.822
5 Tb 0.000 0.322 0.322
6 Ga 0.500 0.144 0.144
7 Tb 0.500 0.686 0.686
8 Cd 0.000 0.822 0.322

Results
- DFT total energy: -13.28 eV per formula unit

4.
Material: LuThNb
Method: DFT, PBE
State: optimized geometry

abc: 4.945 4.945 4.945
angles: 60.00 60.00 60.00
Fractional coordinates of all 3 atoms:
1 Th 0.750 0.750 0.750
2 Nb 0.000 0.000 0.000
3 Lu 0.250 0.250 0.250

Results
- Energy above the most stable polymorph in this dataset: 0 meV per atom
- DFT total energy: -20.21 eV per formula unit
- ΔE_f: 0.608 eV/atom

5.
Material: As2Pt
Method: DFT, PBE
State: optimized geometry

abc: 5.367 5.367 5.367
angles: 60.00 60.00 60.00
Fractional coordinates of all 6 atoms:
1 Pt 0.250 0.250 0.250
2 As 0.625 0.625 0.625
3 As 0.625 0.125 0.625
4 As 0.625 0.625 0.125
5 As 0.125 0.625 0.625
6 Pt 0.000 0.000 0.000

Results
- DFT total energy: -13.33 eV per formula unit

6.
Material: GdGa2Pd
Method: DFT, PBE
State: optimized geometry

abc: 9.413 9.413 4.150
angles: 90.00 90.00 154.04
Fractional coordinates of all 8 atoms:
1 Ga 0.785 0.215 0.500
2 Pd 0.080 0.920 0.500
3 Gd 0.644 0.356 0.000
4 Ga 0.215 0.785 0.500
5 Ga 0.000 0.000 0.000
6 Gd 0.356 0.644 0.000
7 Pd 0.920 0.080 0.500
8 Ga 0.500 0.500 0.500

Results
- DFT total energy: -18.86 eV per formula unit

7.
Material: Rb2ScCoCl6
Method: DFT, PBE
State: optimized geometry

abc: 7.044 7.044 7.044
angles: 60.00 60.00 60.00
Fractional coordinates of all 10 atoms:
1 Rb 0.750 0.750 0.750
2 Cl 0.251 0.749 0.749
3 Cl 0.251 0.749 0.251
4 Cl 0.749 0.749 0.251
5 Sc 0.000 0.000 0.000
6 Cl 0.251 0.251 0.749
7 Cl 0.749 0.251 0.749
8 Rb 0.250 0.250 0.250
9 Cl 0.749 0.251 0.251
10 Co 0.500 0.500 0.500

Results
- DFT total energy: -42.71 eV per formula unit

8.
Material: GdBiNO
Method: DFT, PBE
State: optimized geometry

abc: 3.753 5.941 6.915
angles: 90.00 90.00 90.00
Fractional coordinates of all 8 atoms:
1 Bi 0.500 0.985 0.139
2 O 0.500 0.838 0.695
3 O 0.500 0.338 0.305
4 N 0.000 0.413 0.676
5 Bi 0.500 0.485 0.861
6 N 0.000 0.913 0.324
7 Gd 0.000 0.517 0.357
8 Gd 0.000 0.017 0.643

Results
- Energy above the most stable polymorph in this dataset: 149 meV per atom
- DFT total energy: -26.56 eV per formula unit

9.
Material: KRbNpS3
Method: DFT, PBE
State: optimized geometry

abc: 8.982 8.982 11.493
angles: 90.87 90.87 26.62
Fractional coordinates of all 12 atoms:
1 Rb 0.861 0.861 0.237
2 K 0.138 0.138 0.250
3 S 0.907 0.907 0.495
4 S 0.104 0.104 0.494
5 Np 0.507 0.507 0.494
6 Np 0.516 0.516 0.994
7 S 0.116 0.116 0.998
8 K 0.886 0.886 0.744
9 S 0.506 0.506 0.245
10 S 0.517 0.517 0.746
11 S 0.918 0.918 0.991
12 Rb 0.162 0.162 0.744

Results
- DFT total energy: -34.21 eV per formula unit

10.
Material: SrBiOs
Method: DFT, PBE
State: optimized geometry

abc: 4.879 4.879 4.879
angles: 60.00 60.00 60.00
Fractional coordinates of all 3 atoms:
1 Os 0.000 0.000 0.000
2 Sr 0.750 0.750 0.750
3 Bi 0.250 0.250 0.250

Results
- Energy above the most stable polymorph in this dataset: 0 meV per atom
- DFT total energy: -15.50 eV per formula unit

11.
Material: KLiDy
Method: DFT, PBE
State: optimized geometry

abc: 5.621 5.621 5.621
angles: 60.00 60.00 60.00
Fractional coordinates of all 3 atoms:
1 Li 0.750 0.750 0.750
2 Dy 0.000 0.000 0.000
3 K 0.250 0.250 0.250

Results
- Energy above the most stable polymorph in this dataset: 0 meV per atom
- DFT total energy: -4.58 eV per formula unit

12.
Material: ErTlCdTe3
Method: DFT, PBE
State: optimized geometry

abc: 15.424 4.452 11.903
angles: 90.00 90.00 90.00
Fractional coordinates of all 24 atoms:
1 Cd 0.520 0.750 0.601
2 Tl 0.737 0.250 0.550
3 Tl 0.263 0.750 0.450
4 Tl 0.763 0.750 0.050
5 Cd 0.980 0.250 0.101
6 Te 0.597 0.750 0.373
7 Te 0.400 0.750 0.921
8 Er 0.025 0.250 0.654
9 Te 0.349 0.250 0.233
10 Tl 0.237 0.250 0.950
11 Cd 0.020 0.750 0.899
12 Te 0.151 0.750 0.733
13 Te 0.100 0.250 0.421
14 Er 0.525 0.250 0.846
15 Te 0.849 0.250 0.267
16 Te 0.900 0.750 0.579
17 Te 0.903 0.250 0.873
18 Te 0.097 0.750 0.127
19 Te 0.600 0.250 0.079
20 Cd 0.480 0.250 0.399
21 Te 0.403 0.250 0.627
22 Te 0.651 0.750 0.767
23 Er 0.975 0.750 0.346
24 Er 0.475 0.750 0.154

Results
- Energy above the most stable polymorph in this dataset: 3 meV per atom
- DFT total energy: -22.06 eV per formula unit

13.
Material: Ba2IrAu
Method: DFT, PBE
State: optimized geometry

abc: 4.698 6.239 8.541
angles: 90.00 90.00 90.00
Fractional coordinates of all 8 atoms:
1 Ba 0.500 0.645 0.322
2 Ba 0.500 0.355 0.822
3 Ba 0.000 0.878 0.682
4 Ir 0.500 0.143 0.467
5 Au 0.000 0.632 0.029
6 Ba 0.000 0.122 0.182
7 Ir 0.500 0.857 0.967
8 Au 0.000 0.368 0.529

Results
- Energy above the most stable polymorph in this dataset: 129 meV per atom
- DFT total energy: -17.18 eV per formula unit

14.
Material: GdScAsO
Method: DFT, PBE
State: optimized geometry

abc: 4.100 6.563 6.094
angles: 90.00 90.00 90.00
Fractional coordinates of all 8 atoms:
1 Gd 0.000 0.345 0.877
2 Gd 0.000 0.655 0.377
3 O 0.500 0.782 0.377
4 O 0.500 0.218 0.877
5 As 0.000 0.792 0.875
6 Sc 0.500 0.998 0.125
7 Sc 0.500 0.002 0.625
8 As 0.000 0.208 0.375

Results
- Energy above the most stable polymorph in this dataset: 0 meV per atom
- DFT total energy: -28.99 eV per formula unit

15.
Material: Li4Zn2CoCu
Method: DFT, PBE
State: optimized geometry

abc: 4.153 4.153 5.925
angles: 90.00 90.00 90.00
Fractional coordinates of all 8 atoms:
1 Li 0.000 0.000 0.500
2 Li 0.000 0.500 0.752
3 Zn 0.000 0.500 0.233
4 Co 0.000 0.000 0.000
5 Zn 0.500 0.000 0.767
6 Cu 0.500 0.500 0.500
7 Li 0.500 0.500 0.000
8 Li 0.500 0.000 0.248

Results
- DFT total energy: -21.36 eV per formula unit

16.
Material: NiMo3
Method: DFT, PBE
State: optimized geometry

abc: 4.702 4.702 4.702
angles: 130.89 130.89 71.99
Fractional coordinates of all 4 atoms:
1 Ni 0.000 0.000 0.000
2 Mo 0.750 0.250 0.500
3 Mo 0.250 0.750 0.500
4 Mo 0.500 0.500 0.000

Results
- DFT total energy: -37.43 eV per formula unit
- ΔE_f: 0.171 eV/atom

17.
Material: ZrO
Method: DFT, PBE
State: optimized geometry

abc: 3.533 3.533 3.533
angles: 60.00 60.00 60.00
Fractional coordinates of all 2 atoms:
1 Zr 0.250 0.250 0.250
2 O 0.000 0.000 0.000

Results
- DFT total energy: -17.77 eV per formula unit

18.
Material: LiTm
Method: DFT, PBE
State: optimized geometry

abc: 4.176 4.176 4.176
angles: 60.00 60.00 60.00
Fractional coordinates of all 2 atoms:
1 Tm 0.500 0.500 0.500
2 Li 0.000 0.000 0.000

Results
- Energy above the most stable polymorph in this dataset: 372 meV per atom
- DFT total energy: -5.31 eV per formula unit

19.
Material: Nb2AgGe
Method: DFT, PBE
State: optimized geometry

abc: 4.644 4.644 4.644
angles: 60.00 60.00 60.00
Fractional coordinates of all 4 atoms:
1 Ge 0.500 0.500 0.500
2 Ag 0.250 0.250 0.250
3 Nb 0.000 0.000 0.000
4 Nb 0.750 0.750 0.750

Results
- DFT total energy: -26.19 eV per formula unit

20.
Material: KNbF6
Method: DFT, PBE
State: optimized geometry

abc: 4.967 4.967 9.367
angles: 90.00 90.00 90.00
Fractional coordinates of all 16 atoms:
1 F 0.310 0.690 0.854
2 K 0.000 0.000 0.750
3 F 0.777 0.223 0.500
4 F 0.310 0.310 0.646
5 Nb 0.500 0.500 0.500
6 F 0.690 0.310 0.146
7 F 0.223 0.223 0.000
8 F 0.690 0.690 0.354
9 F 0.223 0.777 0.500
10 F 0.310 0.690 0.146
11 F 0.310 0.310 0.354
12 F 0.777 0.777 0.000
13 Nb 0.500 0.500 0.000
14 F 0.690 0.690 0.646
15 F 0.690 0.310 0.854
16 K 0.000 0.000 0.250

Results
- DFT total energy: -46.61 eV per formula unit

21.
Material: Er2Si5Ni3
Method: DFT, PBE
State: optimized geometry

abc: 7.824 7.824 7.824
angles: 104.79 90.13 137.94
Fractional coordinates of all 20 atoms:
1 Ni 0.366 0.887 0.252
2 Ni 0.134 0.387 0.521
3 Ni 0.250 0.250 0.000
4 Er 0.869 0.264 0.132
5 Ni 0.750 0.750 0.000
6 Si 0.393 0.653 0.046
7 Si 0.517 0.750 0.767
8 Si 0.893 0.847 0.740
9 Si 0.983 0.750 0.233
10 Si 0.483 0.250 0.233
11 Er 0.369 0.236 0.605
12 Si 0.607 0.347 0.954
13 Si 0.250 0.750 0.500
14 Si 0.750 0.250 0.500
15 Ni 0.866 0.613 0.479
16 Si 0.107 0.153 0.260
17 Si 0.017 0.250 0.767
18 Ni 0.634 0.113 0.748
19 Er 0.631 0.764 0.395
20 Er 0.131 0.736 0.868

Results
- DFT total energy: -60.80 eV per formula unit

22.
Material: ErNpCu
Method: DFT, PBE
State: optimized geometry

abc: 4.654 4.654 4.654
angles: 60.00 60.00 60.00
Fractional coordinates of all 3 atoms:
1 Np 0.750 0.750 0.750
2 Er 0.250 0.250 0.250
3 Cu 0.000 0.000 0.000

Results
- Energy above the most stable polymorph in this dataset: 0 meV per atom
- DFT total energy: -19.37 eV per formula unit
- ΔE_f: 0.559 eV/atom

23.
Material: RbNdGaSe3
Method: DFT, PBE
State: optimized geometry

abc: 7.820 7.820 11.348
angles: 90.00 90.00 145.50
Fractional coordinates of all 12 atoms:
1 Se 0.061 0.939 0.250
2 Se 0.620 0.380 0.571
3 Ga 0.517 0.483 0.750
4 Nd 0.000 0.000 0.500
5 Rb 0.748 0.252 0.250
6 Rb 0.252 0.748 0.750
7 Se 0.620 0.380 0.929
8 Se 0.939 0.061 0.750
9 Se 0.380 0.620 0.429
10 Se 0.380 0.620 0.071
11 Ga 0.483 0.517 0.250
12 Nd 0.000 0.000 0.000

Results
- DFT total energy: -26.69 eV per formula unit

24.
Material: DyY2Er3CuTe2
Method: DFT, PBE
State: optimized geometry

abc: 3.947 8.385 8.385
angles: 120.10 90.00 90.00
Fractional coordinates of all 9 atoms:
1 Er 0.500 0.758 0.758
2 Y 0.000 0.597 0.000
3 Cu 0.000 0.000 0.000
4 Y 0.000 0.000 0.597
5 Te 0.500 0.333 0.667
6 Te 0.500 0.667 0.333
7 Er 0.500 0.000 0.242
8 Er 0.500 0.242 0.000
9 Dy 0.000 0.403 0.403

Results
- DFT total energy: -47.11 eV per formula unit

Asked for size of the total moment across the records above, the calculation gives 0.001 0.000 0.000 0.001 0.000 0.001 0.200 0.000 0.500 0.001 0.002 0.000 0.000 0.003 0.025 0.001 0.007 0.001 0.001 0.000 0.000 1.685 0.000 0.037 μB/atom in order.